## 1
An optimized crystal structure of LaEr7Tm3. Source: the Alexandria database, functional GGA-PBE.

Output
Spin magnetization in Bohr magnetons per cell: 0.0

```
data_LaEr7Tm3
_chemical_formula_sum 'La2 Er14 Tm6'
_symmetry_space_group_name_H-M 'I m m m'
_symmetry_Int_Tables_number 71
_symmetry_space_group_name_Hall '-I 2 2'
_cell_length_a 5.747
_cell_length_b 11.075
_cell_length_c 11.109
_cell_angle_alpha 90.00
_cell_angle_beta 90.00
_cell_angle_gamma 90.00
loop_
_atom_site_label
_atom_site_type_symbol
_atom_site_fract_x
_atom_site_fract_y
_atom_site_fract_z
La1 La 0.000 0.000 0.000
Er1 Er 0.000 0.209 0.307
Er2 Er 0.000 0.295 0.000
Er3 Er 0.000 0.500 0.500
Tm1 Tm 0.000 0.000 0.500
Tm2 Tm 0.000 0.500 0.205
```


## 2
An optimized crystal structure of LaEr7Tm3. Source: the Alexandria database, functional GGA-PBE.

Output
Spin magnetization in Bohr magnetons per cell: 0.0

```
data_LaEr7Tm3
_chemical_formula_sum 'La1 Er7 Tm3'
_symmetry_space_group_name_H-M 'P 1 2/m 1'
_symmetry_Int_Tables_number 10
_cell_length_a 6.874
_cell_length_b 5.503
_cell_length_c 9.785
_cell_angle_alpha 90.00
_cell_angle_beta 108.54
_cell_angle_gamma 90.00
loop_
_symmetry_equiv_pos_as_xyz
'x,y,z'
'-x,-y,-z'
'-x,y,-z'
'x,-y,z'
loop_
_atom_site_label
_atom_site_type_symbol
_atom_site_fract_x
_atom_site_fract_y
_atom_site_fract_z
La1 La 0.000 0.000 0.000
Er1 Er 0.000 0.000 0.500
Er2 Er 0.149 0.500 0.789
Er3 Er 0.328 0.500 0.143
Er4 Er 0.433 0.000 0.333
Tm1 Tm 0.274 0.500 0.492
Tm2 Tm 0.500 0.000 0.000
```


Which one is most stable, and which one is least stable? 2 is the most stable of them, while 1 is the least stable.